# Nb3SbRu

A crystal of Nb3SbRu relaxed with PBEsol (meta-GGA SCAN, Alexandria via LeMat-Bulk).

magnetic moment: 0.002 μB/cell
density: 7.146 Mg/m³
energy relative to the elements, uncorrected: 1967 meV per atom
space group: Pm-3m, No. 221

Unit cell a=4.8846 b=4.8846 c=4.8846 alpha=90.00 beta=90.00 gamma=90.00
Closest atoms and distances in Å follow each position.
Atoms (fractional coordinates):
Sb1 0.0000 0.0000 0.0000  6 Nb 2.44
Nb1 0.0000 0.5000 0.0000  2 Sb 2.44
Nb2 0.0000 0.0000 0.5000  2 Sb 2.44
Nb3 0.5000 0.0000 0.0000  2 Sb 2.44
Ru1 0.5000 0.5000 0.5000  12 Nb 3.45

=====

# Nb3SbRu

A crystal of Nb3SbRu relaxed with PBEsol (meta-GGA SCAN, Alexandria via LeMat-Bulk).

magnetic moment: 0.000 μB/cell
density: 7.692 Mg/m³
energy relative to the elements, uncorrected: 720 meV per atom
space group: Pm-3m, No. 221

Unit cell a=4.7662 b=4.7662 c=4.7662 alpha=90.00 beta=90.00 gamma=90.00
Closest atoms and distances in Å follow each position.
Atoms (fractional coordinates):
Sb1 0.5000 0.5000 0.5000  12 Nb 3.37
Nb1 0.0000 0.5000 0.0000  2 Ru 2.38
Nb2 0.0000 0.0000 0.5000  2 Ru 2.38
Nb3 0.5000 0.0000 0.0000  2 Ru 2.38
Ru1 0.0000 0.0000 0.0000  6 Nb 2.38

=====

# NbTc2SbRu

A crystal of NbTc2SbRu relaxed with PBEsol (meta-GGA SCAN, Alexandria via LeMat-Bulk).

magnetic moment: 0.001 μB/cell
density: 8.551 Mg/m³
energy relative to the elements, uncorrected: 1467 meV per atom
space group: P4/mmm, No. 123

Unit cell a=4.5391 b=4.5391 c=4.8234 alpha=90.00 beta=90.00 gamma=90.00
Closest atoms and distances in Å follow each position.
Atoms (fractional coordinates):
Sb1 0.0000 0.0000 0.5000  2 Ru 2.41
Nb1 0.5000 0.5000 0.5000  4 Sb 3.21, 8 Tc 3.31
Tc1 0.0000 0.5000 0.0000  2 Ru 2.27
Tc2 0.5000 0.0000 0.0000  2 Ru 2.27
Ru1 0.0000 0.0000 0.0000  4 Tc 2.27, 2 Sb 2.41

=====

# NbSbTe2Ru

A crystal of NbSbTe2Ru relaxed with PBEsol (meta-GGA SCAN, Alexandria via LeMat-Bulk).

magnetic moment: 3.532 μB/cell
density: 6.512 Mg/m³
energy relative to the elements, uncorrected: 1084 meV per atom
space group: P4/mmm, No. 123

Unit cell a=5.2471 b=5.2471 c=5.2878 alpha=90.00 beta=90.00 gamma=90.00
Closest atoms and distances in Å follow each position.
Atoms (fractional coordinates):
Sb1 0.0000 0.0000 0.5000  2 Nb 2.64
Nb1 0.0000 0.0000 0.0000  4 Te 2.62, 2 Sb 2.64
Te1 0.0000 0.5000 0.0000  2 Nb 2.62
Te2 0.5000 0.0000 0.0000  2 Nb 2.62
Ru1 0.5000 0.5000 0.5000  4 Sb 3.71, 8 Te 3.72

=====

# ScNbRu2

A crystal of ScNbRu2 relaxed with PBEsol (meta-GGA SCAN, Alexandria via LeMat-Bulk).

magnetic moment: 0.000 μB/cell
energy relative to the elements: -14.9 kcal/mol of atoms
density: 9.054 Mg/m³
space group: Fm-3m, No. 225

Unit cell a=4.4512 b=4.4512 c=4.4512 alpha=60.00 beta=60.00 gamma=60.00
Closest atoms and distances in Å follow each position.
Atoms (fractional coordinates):
Sc1 0.5000 0.5000 0.5000  8 Ru 2.73
Ru1 0.7500 0.7500 0.7500  4 Sc 2.73, 4 Nb 2.73
Ru2 0.2500 0.2500 0.2500  4 Nb 2.73, 4 Sc 2.73
Nb1 0.0000 0.0000 0.0000  8 Ru 2.73

=====

# ScNbRu3

A crystal of ScNbRu3 relaxed with PBEsol (meta-GGA SCAN, Alexandria via LeMat-Bulk).

magnetic moment: 0.005 μB/cell
energy relative to the elements: 21.6 kcal/mol of atoms
density: 7.397 Mg/m³
space group: Pm-3m, No. 221

Unit cell a=4.6262 b=4.6262 c=4.6262 alpha=90.00 beta=90.00 gamma=90.00
Closest atoms and distances in Å follow each position.
Atoms (fractional coordinates):
Sc1 0.5000 0.5000 0.5000  12 Ru 3.27
Ru1 0.0000 0.5000 0.0000  2 Nb 2.31
Ru2 0.0000 0.0000 0.5000  2 Nb 2.31
Ru3 0.5000 0.0000 0.0000  2 Nb 2.31
Nb1 0.0000 0.0000 0.0000  6 Ru 2.31

=====

# Nb2RuWSe

A crystal of Nb2RuWSe relaxed with PBEsol (meta-GGA SCAN, Alexandria via LeMat-Bulk).

magnetic moment: 0.000 μB/cell
density: 9.523 Mg/m³
energy relative to the elements, uncorrected: 1342 meV per atom
space group: P4/mmm, No. 123

Unit cell a=4.5002 b=4.6150 c=4.6150 alpha=90.00 beta=90.00 gamma=90.00
Closest atoms and distances in Å follow each position.
Atoms (fractional coordinates):
Ru1 0.5000 0.5000 0.5000  8 Nb 3.22, 4 W 3.26
Nb1 0.0000 0.0000 0.5000  2 Se 2.31
Nb2 0.0000 0.5000 0.0000  2 Se 2.31
Se1 0.0000 0.0000 0.0000  2 W 2.25, 4 Nb 2.31
W1 0.5000 0.0000 0.0000  2 Se 2.25

=====

# NbSiRu

A crystal of NbSiRu relaxed with PBEsol (meta-GGA SCAN, Alexandria via LeMat-Bulk).

magnetic moment: 0.000 μB/cell
density: 8.498 Mg/m³
energy relative to the elements, uncorrected: -716 meV per atom
space group: Ima2, No. 46

Unit cell a=6.4819 b=7.3873 c=7.2028 alpha=60.82 beta=90.00 gamma=116.02
Closest atoms and distances in Å follow each position.
Atoms (fractional coordinates):
Nb1 0.0964 0.6079 0.4460  5 Si 2.64-2.86, 6 Ru 2.75-2.85
Nb2 0.4884 0.3921 0.5540  5 Si 2.64-2.86, 6 Ru 2.75-2.85
Nb3 0.4976 0.4375 0.0313  5 Si 2.56-2.65
Nb4 0.0601 0.5625 0.9687  5 Si 2.56-2.65
Nb5 0.9172 0.0039 0.2481  5 Si 2.64-2.70, 4 Ru 2.82-2.84
Nb6 0.9133 0.9961 0.7519  5 Si 2.64-2.70, 4 Ru 2.82-2.84
Si1 0.5314 0.0591 0.2204  6 Ru 2.42-2.45, 2 Nb 2.56-2.70
Si2 0.4723 0.9409 0.7796  6 Ru 2.42-2.45, 2 Nb 2.56-2.70
Si3 0.8288 0.6660 0.6636  3 Ru 2.48-2.49, 6 Nb 2.63-2.69
Si4 0.1628 0.3340 0.3364  3 Ru 2.48-2.49, 6 Nb 2.63-2.69
Si5 0.8288 0.6660 0.1704  3 Ru 2.48-2.49, 6 Nb 2.63-2.69
Si6 0.1628 0.3340 0.8296  3 Ru 2.48-2.49, 6 Nb 2.63-2.69
Ru1 0.2511 0.0000 0.5000  4 Si 2.45-2.49
Ru2 0.2511 0.0000 0.0000  4 Si 2.45-2.49
Ru3 0.7438 0.2475 0.8426  4 Si 2.42-2.49
Ru4 0.4963 0.7525 0.1574  4 Si 2.42-2.49
Ru5 0.7438 0.2475 0.4099  4 Si 2.42-2.49
Ru6 0.4963 0.7525 0.5901  4 Si 2.42-2.49

=====

What is the formula in the first record?
Nb3SbRu